Record 1
# DyZnPO

Crystalline DyZnPO at its relaxed geometry (GGA-PBE, Alexandria via LeMat-Bulk).

The value obtained for the total moment is 0.00 μB per formula unit. For the final energy, the calculation gives -5.94 eV per atom. The uncorrected formation energy is -181.0 kJ/mol of atoms. As for the space group: No. 166. The volume comes out at 134 Å³ per cell.

a b c (Å): 10.375 10.375 10.375
angles (deg): 21.68 21.68 21.68
Atoms (fractional coordinates):
Dy1 0.120 0.120 0.120
Dy2 0.880 0.880 0.880
Zn1 0.304 0.304 0.304
Zn2 0.696 0.696 0.696
P1 0.388 0.388 0.388
P2 0.612 0.612 0.612
O1 0.195 0.195 0.195
O2 0.805 0.805 0.805

Record 2
# DyPaO3

Crystalline DyPaO3 at its relaxed geometry (GGA-PBE, Alexandria via LeMat-Bulk).

The value obtained for the total moment is 2.00 μB per formula unit. For the final energy, the calculation gives -8.20 eV per atom. The uncorrected formation energy is -232.6 kJ/mol of atoms. As for the space group: No. 221. The volume comes out at 80 Å³ per cell.

a b c (Å): 4.308 4.308 4.308
angles (deg): 90.00 90.00 90.00
Atoms (fractional coordinates):
Dy1 0.000 0.000 0.000
Pa1 0.500 0.500 0.500
O1 0.000 0.000 0.500
O2 0.000 0.500 0.000
O3 0.500 0.000 0.000

Number 2 is which compound?
DyPaO3

uncorrected formation energy of number 2 (DyPaO3)?
-232.6 kJ/mol of atoms

Look up the volume of the first one.
134 Å³ per cell

Please write out number 1 again, unchanged.
# DyZnPO

Crystalline DyZnPO at its relaxed geometry (GGA-PBE, Alexandria via LeMat-Bulk).

The value obtained for the total moment is 0.00 μB per formula unit. For the final energy, the calculation gives -5.94 eV per atom. The uncorrected formation energy is -181.0 kJ/mol of atoms. As for the space group: No. 166. The volume comes out at 134 Å³ per cell.

a b c (Å): 10.375 10.375 10.375
angles (deg): 21.68 21.68 21.68
Atoms (fractional coordinates):
Dy1 0.120 0.120 0.120
Dy2 0.880 0.880 0.880
Zn1 0.304 0.304 0.304
Zn2 0.696 0.696 0.696
P1 0.388 0.388 0.388
P2 0.612 0.612 0.612
O1 0.195 0.195 0.195
O2 0.805 0.805 0.805